# LaEr2Cd

A geometry-optimized LaEr2Cd structure (PBE-GGA, the Alexandria database).

Values from the calculation:
* total moment: 0.0 μB per cell
* formation energy from the elements: -0.040 eV/atom
* energy relative to the lowest polymorph listed for this composition: 0.104 eV per atom
* symmetry: No. 160
* E_tot: -15.1 eV for the cell shown
* DOS at the Fermi energy: 1.3295 states/eV per atom

abc: 11.112 11.112 11.112
angles: 18.68 18.68 18.68
Sites, in units of the cell vectors:
La 0.000 0.000 0.000
Er 0.241 0.241 0.241
Er 0.426 0.426 0.426
Cd 0.834 0.834 0.834

=====

# ZrCrTcPt2

A geometry-optimized ZrCrTcPt2 structure (PBE-GGA, the Alexandria database).

Values from the calculation:
* total moment: 0.0 μB per cell
* formation energy from the elements: 0.460 eV/atom
* symmetry: No. 123
* E_tot: -38.3 eV for the cell shown
* DOS at the Fermi energy: 1.5380 states/eV per atom

abc: 4.649 4.649 4.323
angles: 90.00 90.00 90.00
Sites, in units of the cell vectors:
Zr 0.000 0.000 0.000
Cr 0.500 0.500 0.500
Tc 0.500 0.500 0.000
Pt 0.000 0.500 0.500
Pt 0.500 0.000 0.500

=====

# Ba2FeSe

A geometry-optimized Ba2FeSe structure (PBE-GGA, the Alexandria database).

Values from the calculation:
* total moment: 2.0 μB per cell
* uncorrected formation energy: -357 meV per atom
* symmetry: No. 44
* E_tot: -17.2 eV for the cell shown
* DOS at the Fermi energy: 1.2927 states/eV per atom

abc: 8.553 8.553 8.553
angles: 150.79 150.29 42.14
Sites, in units of the cell vectors:
Ba 0.000 0.000 0.000
Ba 0.758 0.258 0.500
Fe 0.349 0.849 0.500
Se 0.419 0.419 0.000

=====

# Sc2SnCl

A geometry-optimized Sc2SnCl structure (PBE-GGA, the Alexandria database).

Values from the calculation:
* total moment: 0.0 μB per cell
* uncorrected formation energy: -465 meV per atom
* energy relative to the lowest polymorph listed for this composition: 0.343 eV per atom
* symmetry: No. 122
* E_tot: -40.7 eV for the cell shown
* DOS at the Fermi energy: 0.8839 states/eV per atom

abc: 7.900 7.900 7.900
angles: 135.90 135.90 64.14
Sites, in units of the cell vectors:
Sc 0.092 0.625 0.967
Sc 0.375 0.342 0.467
Sc 0.658 0.125 0.033
Sc 0.875 0.908 0.533
Sn 0.250 0.750 0.500
Sn 0.500 0.500 0.000
Cl 0.000 0.000 0.000
Cl 0.750 0.250 0.500

=====

# LiHf2Te2

A geometry-optimized LiHf2Te2 structure (PBE-GGA, the Alexandria database).

Values from the calculation:
* total moment: 0.0 μB per cell
* uncorrected formation energy: -370 meV per atom
* symmetry: No. 127
* E_tot: -59.9 eV for the cell shown
* DOS at the Fermi energy: 1.0205 states/eV per atom

abc: 7.874 7.874 3.661
angles: 90.00 90.00 90.00
Sites, in units of the cell vectors:
Li 0.000 0.000 0.000
Li 0.500 0.500 0.000
Hf 0.140 0.360 0.500
Hf 0.360 0.860 0.500
Hf 0.640 0.140 0.500
Hf 0.860 0.640 0.500
Te 0.154 0.654 0.000
Te 0.346 0.154 0.000
Te 0.654 0.846 0.000
Te 0.846 0.346 0.000